Record 1
Here is an optimized crystal structure of CsCdAg3 from Alexandria via LeMat-Bulk. Energies are from PBE.

Cell lengths 5.4616, 5.4616, 5.4616 Å; angles 90.00, 90.00, 90.00 degrees
With the nearest neighbours (Å) after each atom.
Fractional coordinates of all 5 atoms:
Cs  0.0000  0.0000  0.0000  12 Ag 3.86
Cd  0.5000  0.5000  0.5000  6 Ag 2.73
Ag  0.0000  0.5000  0.5000  2 Cd 2.73
Ag  0.5000  0.0000  0.5000  2 Cd 2.73
Ag  0.5000  0.5000  0.0000  2 Cd 2.73

Computed properties:
magnetization: 0.000 μB per atom
ΔE_f: 223 meV/atom
energy: -9.207 eV for the cell shown
polymorph energy (0 for the lowest one): 17.4 kJ per mole of atoms

***

Record 2
Here is an optimized crystal structure of FeCuAs from Alexandria via LeMat-Bulk. Energies are from PBE.

Cell lengths 3.9385, 3.9385, 2.9651 Å; angles 90.00, 90.00, 120.00 degrees
With the nearest neighbours (Å) after each atom.
Fractional coordinates of all 3 atoms:
Fe  0.0000  0.0000  0.0000  3 As 2.27
Cu  0.6667  0.3333  0.4996  6 As 2.71-2.72, 6 Fe 2.71-2.72, 2 Cu 2.97
As  0.3333  0.6667  0.9967  3 Fe 2.27

Computed properties:
magnetization: 0.210 μB per atom
ΔE_f: 188 meV/atom
energy: -16.644 eV for the cell shown

***

Record 3
Here is an optimized crystal structure of AlTc2Os from Alexandria via LeMat-Bulk. Energies are from PBE.

Cell lengths 2.9440, 2.9440, 6.5485 Å; angles 90.00, 90.00, 90.00 degrees
With the nearest neighbours (Å) after each atom.
Fractional coordinates of all 4 atoms:
Al  0.0000  0.0000  0.0000  4 Os 2.61, 4 Tc 2.63
Tc  0.0000  0.0000  0.4988  8 Tc 2.68-2.94, 4 Os 2.68
Tc  0.5000  0.5000  0.7558  4 Al 2.63, 4 Tc 2.68
Os  0.5000  0.5000  0.2400  4 Al 2.61, 4 Tc 2.68

Computed properties:
magnetization: 0.000 μB per atom
ΔE_f: -171 meV/atom
energy: -36.389 eV for the cell shown

***

Record 4
Here is an optimized crystal structure of NaYCdGa from Alexandria via LeMat-Bulk. Energies are from PBE.

Cell lengths 5.1134, 5.1134, 5.1134 Å; angles 60.00, 60.00, 60.00 degrees
With the nearest neighbours (Å) after each atom.
Fractional coordinates of all 4 atoms:
Na  0.0000  0.0000  0.0000  4 Cd 3.13, 4 Ga 3.13
Y  0.5000  0.5000  0.5000  4 Cd 3.13, 4 Ga 3.13
Cd  0.7500  0.7500  0.7500  4 Y 3.13, 4 Na 3.13
Ga  0.2500  0.2500  0.2500  4 Y 3.13, 4 Na 3.13

Computed properties:
magnetization: 0.000 μB per atom
ΔE_f: -232 meV/atom
energy: -12.652 eV for the cell shown

***

Record 5
Here is an optimized crystal structure of Sm4Ge3Pt from Alexandria via LeMat-Bulk. Energies are from PBE.

Cell lengths 4.1596, 4.2428, 11.0791 Å; angles 90.00, 90.00, 90.00 degrees
With the nearest neighbours (Å) after each atom.
Fractional coordinates of all 8 atoms:
Sm  0.0000  0.0000  0.0000  1 Pt 3.01, 6 Ge 3.06-3.29
Sm  0.0000  0.5000  0.4912  5 Ge 3.02-3.12, 2 Pt 3.22
Sm  0.5000  0.0000  0.7164  7 Ge 3.04-3.22
Sm  0.5000  0.5000  0.2222  4 Pt 3.02, 3 Ge 3.18-3.22
Ge  0.0000  0.5000  0.7727  2 Ge 2.75, 4 Sm 3.04
Ge  0.5000  0.0000  0.4407  2 Pt 2.80, 5 Sm 3.02-3.05
Ge  0.5000  0.5000  0.9348  2 Ge 2.75, 4 Sm 3.06
Pt  0.0000  0.0000  0.2721  2 Ge 2.80, 5 Sm 3.01-3.02

Computed properties:
magnetization: 0.000 μB per atom
ΔE_f: -923 meV/atom
energy: -46.152 eV for the cell shown

***

Record 6
Here is an optimized crystal structure of Tb5Sm2Th from Alexandria via LeMat-Bulk. Energies are from PBE.

Cell lengths 7.1527, 14.3260, 5.0793 Å; angles 90.00, 90.00, 90.00 degrees
With the nearest neighbours (Å) after each atom.
Fractional coordinates of all 16 atoms:
Tb  0.0000  0.0000  0.0000  2 Th 3.58, 4 Sm 3.59, 6 Tb 3.59-3.60
Tb  0.0026  0.2512  0.0000  1 Th 3.56, 4 Sm 3.57-3.63, 7 Tb 3.58-3.63
Tb  0.2428  0.6227  0.5000  4 Sm 3.50-3.66, 2 Th 3.54, 6 Tb 3.58-3.63
Tb  0.2572  0.1227  0.5000  4 Sm 3.50-3.66, 2 Th 3.54, 6 Tb 3.58-3.63
Tb  0.4974  0.7512  0.0000  1 Th 3.56, 4 Sm 3.57-3.63, 7 Tb 3.58-3.63
Tb  0.5000  0.5000  0.0000  2 Th 3.58, 4 Sm 3.59, 6 Tb 3.59-3.60
Tb  0.5026  0.2488  0.0000  1 Th 3.56, 4 Sm 3.57-3.63, 7 Tb 3.58-3.63
Tb  0.7428  0.8773  0.5000  4 Sm 3.50-3.66, 2 Th 3.54, 6 Tb 3.58-3.63
Tb  0.7572  0.3773  0.5000  4 Sm 3.50-3.66, 2 Th 3.54, 6 Tb 3.58-3.63
Tb  0.9974  0.7488  0.0000  1 Th 3.56, 4 Sm 3.57-3.63, 7 Tb 3.58-3.63
Sm  0.2462  0.3769  0.5000  10 Tb 3.50-3.66, 2 Th 3.56
Sm  0.2538  0.8769  0.5000  10 Tb 3.50-3.66, 2 Th 3.56
Sm  0.7462  0.1231  0.5000  10 Tb 3.50-3.66, 2 Th 3.56
Sm  0.7538  0.6231  0.5000  10 Tb 3.50-3.66, 2 Th 3.56
Th  0.0000  0.5000  0.0000  8 Tb 3.54-3.58, 4 Sm 3.56
Th  0.5000  0.0000  0.0000  8 Tb 3.54-3.58, 4 Sm 3.56

Computed properties:
magnetization: 0.000 μB per atom
ΔE_f: 27 meV/atom
energy: -79.585 eV for the cell shown

***

Record 7
Here is an optimized crystal structure of PdC3Se from Alexandria via LeMat-Bulk. Energies are from PBE.

Cell lengths 4.0705, 4.0705, 4.0705 Å; angles 90.00, 90.00, 90.00 degrees
With the nearest neighbours (Å) after each atom.
Fractional coordinates of all 5 atoms:
Pd  0.0000  0.0000  0.0000  6 C 2.04
C  0.0000  0.0000  0.5000  2 Pd 2.04
C  0.0000  0.5000  0.0000  2 Pd 2.04
C  0.5000  0.0000  0.0000  2 Pd 2.04
Se  0.5000  0.5000  0.5000  12 C 2.88

Computed properties:
formation energy without anion corrections: 2720 meV per atom
magnetization: 0.261 μB per atom
energy: -22.749 eV for the cell shown
polymorph energy (0 for the lowest one): 0.0 kJ per mole of atoms

***

Record 8
Here is an optimized crystal structure of Tb5Ho4Ag from Alexandria via LeMat-Bulk. Energies are from PBE.

Cell lengths 3.5471, 3.5471, 23.9502 Å; angles 90.00, 90.00, 90.00 degrees
With the nearest neighbours (Å) after each atom.
Fractional coordinates of all 10 atoms:
Tb  0.0000  0.0000  0.0000  8 Ho 3.54, 4 Tb 3.55
Tb  0.0000  0.0000  0.2093  8 Ho 3.53-3.55, 4 Tb 3.55
Tb  0.0000  0.0000  0.4191  4 Ag 3.17, 4 Tb 3.55
Tb  0.0000  0.0000  0.5809  4 Ag 3.17, 4 Tb 3.55
Tb  0.0000  0.0000  0.7907  8 Ho 3.53-3.55, 4 Tb 3.55
Ho  0.5000  0.5000  0.1045  8 Tb 3.54-3.55, 4 Ho 3.55
Ho  0.5000  0.5000  0.3129  8 Tb 3.53-3.57, 4 Ho 3.55
Ho  0.5000  0.5000  0.6871  8 Tb 3.53-3.57, 4 Ho 3.55
Ho  0.5000  0.5000  0.8955  8 Tb 3.54-3.55, 4 Ho 3.55
Ag  0.5000  0.5000  0.5000  8 Tb 3.17, 4 Ag 3.55

Computed properties:
magnetization: 0.000 μB per atom
ΔE_f: -40 meV/atom
energy: -44.714 eV for the cell shown

***

no.,DOS(E_F) (states/eV per cell)
1,1.15
2,1.76
3,2.20
4,2.48
5,5.45
6,22.41
7,3.49
8,12.41